(1)
Here is K2TaMo after structural relaxation from Alexandria. Energies are from PBE.

abc: 5.334 5.334 5.334
angles: 60.00 60.00 60.00
Sites, in units of the cell vectors:
K  0.250  0.250  0.250
K  0.750  0.750  0.750
Ta  0.000  0.000  0.000
Mo  0.500  0.500  0.500

Results
As for the distance to the lowest polymorph of the same formula: 1.974 eV per atom. The calculation puts the total magnetic moment at 0.0 μB per formula unit. The crystal system is cubic. The value obtained for the theoretical density is 5.49 Mg/m³.



(2)
Here is Tb2Pm6Nd3Sm after structural relaxation from Alexandria. Energies are from PBE.

abc: 6.311 6.311 12.074
angles: 95.01 95.01 120.00
Sites, in units of the cell vectors:
Tb  0.167  0.833  0.000
Tb  0.833  0.167  0.000
Pm  0.083  0.417  0.753
Pm  0.249  0.249  0.247
Pm  0.417  0.083  0.753
Pm  0.583  0.917  0.247
Pm  0.751  0.751  0.753
Pm  0.917  0.583  0.247
Nd  0.000  0.000  0.500
Nd  0.333  0.667  0.500
Nd  0.667  0.333  0.500
Sm  0.500  0.500  0.000

Results
The calculation puts the total magnetic moment at 0.0 μB per formula unit. The crystal system is monoclinic. The value obtained for the theoretical density is 7.17 Mg/m³. The calculation puts the uncorrected energy at -4.719 eV/atom.



(3)
Here is CaDyHg6 after structural relaxation from Alexandria. Energies are from PBE.

abc: 5.128 6.627 6.627
angles: 60.50 90.00 90.00
Sites, in units of the cell vectors:
Ca  0.000  0.000  0.000
Dy  0.500  0.673  0.673
Hg  0.000  0.004  0.500
Hg  0.000  0.500  0.004
Hg  0.000  0.505  0.505
Hg  0.500  0.172  0.172
Hg  0.500  0.177  0.661
Hg  0.500  0.661  0.177

Results
As for the distance to the lowest polymorph of the same formula: 0.000 eV per atom. The calculation puts the total magnetic moment at 0.0 μB per formula unit. The crystal system is orthorhombic. The value obtained for the theoretical density is 11.91 Mg/m³.



(4)
Here is CsCaMnI5 after structural relaxation from Alexandria. Energies are from PBE.

abc: 8.788 8.788 11.414
angles: 104.21 104.21 105.47
Sites, in units of the cell vectors:
Cs  0.154  0.846  0.750
Cs  0.846  0.154  0.250
Ca  0.500  0.500  0.000
Ca  0.500  0.500  0.500
Mn  0.186  0.814  0.250
Mn  0.814  0.186  0.750
I  0.114  0.262  0.931
I  0.183  0.600  0.386
I  0.262  0.114  0.431
I  0.400  0.817  0.114
I  0.424  0.576  0.750
I  0.576  0.424  0.250
I  0.600  0.183  0.886
I  0.738  0.886  0.569
I  0.817  0.400  0.614
I  0.886  0.738  0.069

Results
The calculation puts the total magnetic moment at 5.0 μB per formula unit. The crystal system is monoclinic. The value obtained for the theoretical density is 3.69 Mg/m³. For the uncorrected formation energy, the calculation gives -1.15 eV/atom.



(5)
Here is MgNbCu after structural relaxation from Alexandria. Energies are from PBE.

abc: 2.788 5.666 6.859
angles: 76.12 78.43 76.20
Sites, in units of the cell vectors:
Mg  0.000  0.000  0.000
Mg  0.450  0.404  0.687
Nb  0.194  0.297  0.306
Nb  0.762  0.906  0.587
Cu  0.482  0.728  0.308
Cu  0.724  0.568  0.974

Results
As for the distance to the lowest polymorph of the same formula: 0.138 eV per atom. The calculation puts the total magnetic moment at 0.0 μB per formula unit. The crystal system is triclinic. The value obtained for the theoretical density is 5.95 Mg/m³.



> The highest total magnetic moment belongs to which entry?

CsCaMnI5



What did the first record say?
Here is K2TaMo after structural relaxation from Alexandria. Energies are from PBE.

abc: 5.334 5.334 5.334
angles: 60.00 60.00 60.00
Sites, in units of the cell vectors:
K  0.250  0.250  0.250
K  0.750  0.750  0.750
Ta  0.000  0.000  0.000
Mo  0.500  0.500  0.500

Results
As for the distance to the lowest polymorph of the same formula: 1.974 eV per atom. The calculation puts the total magnetic moment at 0.0 μB per formula unit. The crystal system is cubic. The value obtained for the theoretical density is 5.49 Mg/m³.



> Which value of theoretical density does entry 4 give?

3.69 Mg/m³